## LiMn2HgF (PBE with a Hubbard U)

Data for a relaxed LiMn2HgF crystal.

Unit cell a=4.8534 b=4.8534 c=3.5456 alpha=90.00 beta=90.00 gamma=90.00
Space group P4/mmm (No. 123)
Symmetry-distinct sites (fractional):
Li (0.0000, 0.0000, 0.0000) x1
Mn (0.0000, 0.5000, 0.5000) x2
Hg (0.5000, 0.5000, 0.0000) x1
F (0.0000, 0.0000, 0.5000) x1

magnetization: 9.29 μB per cell
E: -22.25 eV for the cell shown